No. 1
Density functional theory data (GGA-PBE) for an optimized crystal structure of Hg2Au2O3.

Cell lengths 6.5967, 6.2991, 6.7631 Å; angles 90.00, 114.11, 90.00 degrees
With the nearest neighbours (Å) after each atom.
Fractional coordinates of all 14 atoms:
1 Hg 0.2143 0.2413 0.1444  2 O 2.14-2.15
2 Hg 0.2143 0.2587 0.6444  2 O 2.14-2.15
3 Hg 0.7857 0.7413 0.3556  2 O 2.14-2.15
4 Hg 0.7857 0.7587 0.8556  2 O 2.14-2.15
5 Au 0.3286 0.7245 0.4333  2 O 2.02-2.05
6 Au 0.3286 0.7755 0.9333  2 O 2.02-2.05
7 Au 0.6714 0.2245 0.0667  2 O 2.02-2.05
8 Au 0.6714 0.2755 0.5667  2 O 2.02-2.05
9 O 0.1477 0.0511 0.8624  1 Au 2.05, 2 Hg 2.14-2.15
10 O 0.1477 0.4489 0.3624  1 Au 2.05, 2 Hg 2.14-2.15
11 O 0.5000 0.0000 0.5000  2 Au 2.02
12 O 0.5000 0.5000 0.0000  2 Au 2.02
13 O 0.8523 0.5511 0.6376  1 Au 2.05, 2 Hg 2.14-2.15
14 O 0.8523 0.9489 0.1376  1 Au 2.05, 2 Hg 2.14-2.15

## Properties
- ΔE_f (raw) (kcal/mol of atoms) = -0.52
- DOS(E_F) (states/eV per cell) = 0.78
- E_tot (eV/atom) = -3.170



No. 2
Density functional theory data (GGA-PBE) for an optimized crystal structure of HgAuO2.

Cell lengths 4.2750, 4.2750, 6.9898 Å; angles 90.00, 90.00, 90.85 degrees
With the nearest neighbours (Å) after each atom.
Fractional coordinates of all 8 atoms:
1 Hg 0.0866 0.9134 0.5000  4 O 2.39-2.50
2 Hg 0.9134 0.0866 0.0000  4 O 2.39-2.50
3 Au 0.4146 0.5854 0.7887  4 O 2.15-2.17
4 Au 0.5854 0.4146 0.2887  4 O 2.15-2.17
5 O 0.0881 0.3979 0.3306  2 Au 2.15-2.17, 1 Hg 2.39
6 O 0.3979 0.0881 0.8306  2 Au 2.15-2.17, 1 Hg 2.39
7 O 0.6021 0.9119 0.3306  2 Au 2.15-2.17, 1 Hg 2.39
8 O 0.9119 0.6021 0.8306  2 Au 2.15-2.17, 1 Hg 2.39

## Properties
- ΔE_f (raw) (kcal/mol of atoms) = 1.76
- DOS(E_F) (states/eV per cell) = 2.25
- E_tot (eV/atom) = -3.297



No. 3
Density functional theory data (GGA-PBE) for an optimized crystal structure of HgAuO2.

Cell lengths 5.4016, 5.4016, 5.4016 Å; angles 111.96, 111.96, 104.60 degrees
With the nearest neighbours (Å) after each atom.
Fractional coordinates of all 8 atoms:
1 Hg 0.0000 0.0000 0.0000  4 O 2.37
2 Hg 0.7500 0.2500 0.5000  4 O 2.37
3 Au 0.2500 0.7500 0.5000  4 O 2.22
4 Au 0.5000 0.5000 0.0000  4 O 2.22
5 O 0.1439 0.6250 0.0189  2 Au 2.22, 2 Hg 2.37
6 O 0.3750 0.3939 0.5189  2 Au 2.22, 2 Hg 2.37
7 O 0.6061 0.1250 0.9811  2 Au 2.22, 2 Hg 2.37
8 O 0.8750 0.8561 0.4811  2 Au 2.22, 2 Hg 2.37

## Properties
- ΔE_f (raw) (kcal/mol of atoms) = 4.59
- DOS(E_F) (states/eV per cell) = 8.95
- E_tot (eV/atom) = -3.175



Number 1: size of the total moment 0.00 μB per cell, V 256.5 Å³ per cell. Number 2: size of the total moment 0.00 μB per cell, V 127.7 Å³ per cell. Number 3: size of the total moment 0.00 μB per cell, V 120.7 Å³ per cell.